No. 1
LiSiTe2 after structural relaxation, computed with PBEsol.

ΔE_f (raw)	-0.007	eV/atom
calculated volume	179.96	Å³ per cell
D(E_F)	0.499	states/eV/atom
magnetic moment	0.0	Bohr magnetons per cell
energy above the most stable polymorph in this dataset	32.4	kJ/mol of atoms
E	-29.6	eV for the cell shown

Cell: 4.9256 4.9256 7.4176 Å, 90.00 90.00 90.00°
Last column: nearest neighbours and their distance in Å.
Space group I4/mmm (No. 139)
Symmetry-distinct sites (fractional):
Li1 0.0000 0.0000 0.0000  8 Te 3.08
Si1 0.0000 0.0000 0.5000  8 Te 3.08
Te1 0.0000 0.5000 0.2500  4 Li 3.08, 4 Si 3.08


No. 2
GaB2IO after structural relaxation, computed with PBEsol.

ΔE_f (raw)	1.657	eV/atom
calculated volume	88.72	Å³ per cell
D(E_F)	0.575	states/eV/atom
magnetic moment	0.0	Bohr magnetons per cell
E	-16.1	eV for the cell shown

Cell: 3.8683 3.8683 5.9293 Å, 90.00 90.00 90.00°
Last column: nearest neighbours and their distance in Å.
Space group P4/mmm (No. 123)
Symmetry-distinct sites (fractional):
Ga1 0.0000 0.0000 0.0000  4 B 1.93
B1 0.0000 0.5000 0.0000  2 Ga 1.93
I1 0.0000 0.0000 0.5000  4 O 2.74, 2 Ga 2.96
O1 0.5000 0.5000 0.5000  4 I 2.74


No. 3
InIr2W after structural relaxation, computed with PBEsol.

calculated volume	125.43	Å³ per cell
formation energy from the elements	0.13	eV per atom
D(E_F)	0.777	states/eV/atom
magnetic moment	0.0	Bohr magnetons per cell
E	-71.8	eV for the cell shown

Cell: 9.1045 2.8054 4.9693 Å, 90.00 98.80 90.00°
Last column: nearest neighbours and their distance in Å.
Space group C2/m (No. 12)
Symmetry-distinct sites (fractional):
In1 0.0000 0.0000 0.0000  6 Ir 2.77-2.85, 2 In 2.81, 4 W 2.85
Ir1 0.2460 0.0000 0.7334  6 Ir 2.72-2.99, 3 W 2.74-2.75, 3 In 2.77-2.85
W1 0.0000 0.5000 0.5000  6 Ir 2.74-2.75, 2 W 2.81, 4 In 2.85


No. 4
GaRh3S after structural relaxation, computed with PBEsol.

ΔE_f (raw)	0.130	eV/atom
calculated volume	79.48	Å³ per cell
D(E_F)	1.044	states/eV/atom
magnetic moment	0.0	Bohr magnetons per cell
E	-31.5	eV for the cell shown

Cell: 4.2995 4.2995 4.2995 Å, 90.00 90.00 90.00°
Last column: nearest neighbours and their distance in Å.
Space group Pm-3m (No. 221)
Symmetry-distinct sites (fractional):
Ga1 0.0000 0.0000 0.0000  12 Rh 3.04
Rh1 0.0000 0.5000 0.5000  2 S 2.15
S1 0.5000 0.5000 0.5000  6 Rh 2.15